Entry 1:
VASP calculation (PBE-GGA) on an optimized crystal structure of YAl2Mo2.

Computed properties:
Excess energy over the best structure of this formula in the dataset (meV per atom): 198
Space-group type: No. 139

a b c (Å): 4.433 4.433 6.006
angles (deg): 68.35 68.35 90.00
Fractional coordinates of all 5 atoms:
1 Al 0.250 0.750 0.500
2 Mo 0.391 0.391 0.219
3 Al 0.750 0.250 0.500
4 Y 0.000 0.000 0.000
5 Mo 0.609 0.609 0.781

Entry 2:
VASP calculation (PBE-GGA) on an optimized crystal structure of CaIn2CuAu4.

Computed properties:
Space-group type: No. 166

a b c (Å): 4.738 4.738 8.754
angles (deg): 74.30 74.30 60.00
Fractional coordinates of all 8 atoms:
1 Au 0.607 0.607 0.179
2 Au 0.393 0.393 0.821
3 In 0.249 0.249 0.254
4 In 0.751 0.751 0.746
5 Ca 0.000 0.000 0.000
6 Au 0.867 0.867 0.400
7 Cu 0.500 0.500 0.500
8 Au 0.133 0.133 0.600

Number 1: energy of formation from the pure elements 0.111 eV/atom. Number 2: energy of formation from the pure elements -0.319 eV/atom.